1.
Here is a relaxed Na5AlO4 crystal from the Alexandria database. Energies are from PBE.

Cell: 5.435 7.347 7.087 Å, 90.00 90.00 90.00°
Sites, in units of the cell vectors:
Na1 0.741 0.192 0.237
Na2 0.741 0.808 0.763
O1 0.398 0.000 0.785
O2 0.965 0.292 0.500
Na3 0.259 0.308 0.737
O3 0.602 0.500 0.285
Al1 0.782 0.500 0.500
Na4 0.259 0.692 0.737
O4 0.602 0.500 0.715
Na5 0.259 0.692 0.263
Na6 0.741 0.808 0.237
Al2 0.218 0.000 0.000
Na7 0.259 0.308 0.263
O5 0.035 0.792 0.000
O6 0.965 0.708 0.500
Na8 0.178 0.000 0.500
Na9 0.741 0.192 0.763
Na10 0.822 0.500 0.000
O7 0.035 0.208 0.000
O8 0.398 0.000 0.215

Values from the calculation:
- Offset from the most stable computed form: 4 meV/atom
- Spin magnetization: 0.04 μB/f.u.


2.
Here is a relaxed Na5InAg2 crystal from the Alexandria database. Energies are from PBE.

Cell: 5.043 6.425 12.710 Å, 90.00 90.00 90.00°
Sites, in units of the cell vectors:
Na1 0.000 0.000 0.000
In1 0.000 0.500 0.000
Na2 0.000 0.824 0.771
Na3 0.500 0.318 0.362
Na4 0.500 0.182 0.862
Na5 0.500 0.682 0.638
Na6 0.000 0.176 0.229
Na7 0.500 0.818 0.138
Ag1 0.500 0.165 0.593
Ag2 0.500 0.835 0.407
Na8 0.000 0.324 0.729
Ag3 0.500 0.665 0.907
Ag4 0.500 0.335 0.093
In2 0.000 0.000 0.500
Na9 0.000 0.676 0.271
Na10 0.000 0.500 0.500

Values from the calculation:
- Spin magnetization: 0.00 μB/f.u.
- Energy of formation from the pure elements: -16 meV per atom


3.
Here is a relaxed Sn3Bi2 crystal from the Alexandria database. Energies are from PBE.

Cell: 8.217 8.217 7.465 Å, 56.61 56.61 60.00°
Sites, in units of the cell vectors:
Sn1 0.010 0.250 0.250
Bi1 0.102 0.102 0.693
Sn2 0.510 0.990 0.750
Sn3 0.250 0.490 0.250
Bi2 0.602 0.602 0.193
Bi3 0.898 0.898 0.307
Sn4 0.490 0.010 0.250
Sn5 0.750 0.510 0.750
Sn6 0.990 0.750 0.750
Bi4 0.398 0.398 0.807

Values from the calculation:
- Offset from the most stable computed form: 54 meV/atom
- Spin magnetization: 0.00 μB/f.u.
- Energy of formation from the pure elements: 144 meV per atom


4.
Here is a relaxed DyEr3Hf2N6 crystal from the Alexandria database. Energies are from PBE.

Cell: 3.342 6.721 7.487 Å, 103.08 102.89 90.00°
Sites, in units of the cell vectors:
Er1 0.833 0.167 0.667
Hf1 0.833 0.666 0.666
N1 0.331 0.899 0.662
Er2 0.167 0.833 0.333
Er3 0.500 0.500 0.000
N2 0.672 0.572 0.344
N3 0.669 0.101 0.338
N4 0.008 0.258 0.016
Dy1 0.500 0.000 0.000
N5 0.992 0.742 0.984
N6 0.328 0.428 0.656
Hf2 0.167 0.334 0.334

Values from the calculation:
- Total energy: -9.148 eV per atom
- Spin magnetization: 0.00 μB/f.u.


5.
Here is a relaxed TaInP2 crystal from the Alexandria database. Energies are from PBE.

Cell: 6.615 6.615 3.595 Å, 89.93 89.93 29.48°
Sites, in units of the cell vectors:
P1 0.804 0.804 0.626
Ta1 0.450 0.450 0.624
In1 0.226 0.226 0.126
P2 0.020 0.020 0.124

Values from the calculation:
- Spin magnetization: 0.00 μB/f.u.
- Energy of formation from the pure elements: -180 meV per atom


6.
Here is a relaxed ThScP crystal from the Alexandria database. Energies are from PBE.

Cell: 5.777 7.725 7.255 Å, 105.46 90.00 90.00°
Sites, in units of the cell vectors:
Sc1 0.750 0.719 0.376
P1 0.250 0.092 0.870
Th1 0.250 0.918 0.170
Th2 0.750 0.082 0.830
Sc2 0.250 0.281 0.624
Sc3 0.750 0.219 0.376
P2 0.750 0.408 0.130
P3 0.750 0.908 0.130
Th3 0.250 0.418 0.170
P4 0.250 0.592 0.870
Sc4 0.250 0.781 0.624
Th4 0.750 0.582 0.830

Values from the calculation:
- Offset from the most stable computed form: 0 meV/atom
- Spin magnetization: 0.00 μB/f.u.
- Energy of formation from the pure elements: -871 meV per atom